{"formula": "K3MnCo2F9", "functional": "GGA+U", "state": "optimized geometry", "lattice_angstrom": [[5.889, 0.000, 0.000], [-2.945, 5.100, 0.000], [0.000, 0.000, 7.185]], "species": ["K", "K", "K", "Mn", "Co", "Co", "F", "F", "F", "F", "F", "F", "F", "F", "F"], "fractional_positions": [[0.333, 0.667, 0.667], [0.000, 0.000, 0.000], [0.667, 0.333, 0.333], [0.000, 0.000, 0.500], [0.333, 0.667, 0.160], [0.667, 0.333, 0.840], [0.830, 0.170, 0.672], [0.830, 0.661, 0.672], [0.339, 0.170, 0.672], [0.661, 0.830, 0.328], [0.170, 0.339, 0.328], [0.170, 0.830, 0.328], [0.500, 0.000, 0.000], [0.000, 0.500, 0.000], [0.500, 0.500, 0.000]], "final_energy_ev_per_atom": -4.97, "magmom_total_mub_per_fu": 11.0}